(1)
## PrPuSb2 (PBE-GGA)

Data for crystalline PrPuSb2 at its relaxed geometry.

Cell: 5.455 5.455 5.455 Å, 60.00 60.00 60.00°
Site moments in Bohr magnetons follow the coordinates.
Sites, in units of the cell vectors:
Sb 0.250 0.250 0.250  -0.06
Pu 0.000 0.000 0.000  5.42
Pr 0.500 0.500 0.500  0.11
Sb 0.750 0.750 0.750  -0.06

Distance to the lowest polymorph of the same formula   18.1 kJ/mol of atoms
Raw total energy   -7.5390 eV per atom
Fermi-level density of states   12.5 states/eV/f.u.

---

(2)
## PrPuSb2 (PBE-GGA)

Data for crystalline PrPuSb2 at its relaxed geometry.

Cell: 4.497 4.497 7.762 Å, 73.16 73.16 60.00°
Site moments in Bohr magnetons follow the coordinates.
Sites, in units of the cell vectors:
Pu 0.000 0.000 0.000  5.16
Pr 0.500 0.500 0.500  -0.03
Sb 0.746 0.746 0.761  -0.09
Sb 0.254 0.254 0.239  -0.09

Distance to the lowest polymorph of the same formula   0.0 kJ/mol of atoms
Raw total energy   -7.7267 eV per atom
Fermi-level density of states   14.5 states/eV/f.u.

---

Computed E_form (uncorrected), in the same sequence as the records: -0.70, -0.89 eV/atom.